## PuZr4Rh5 (GGA-PBE)

Data for a relaxed PuZr4Rh5 crystal.

**Symmetry**: P4/mmm (123)
**DFT formation energy**: -0.7008 eV/atom
**DFT total energy**: -9.229 eV/atom

Cell: 3.313 3.313 16.859 Å, 90.00 90.00 90.00°
Positions (direct):
Pu1 0.000 0.000 0.000
Zr1 0.000 0.000 0.206
Zr2 0.000 0.000 0.403
Zr3 0.000 0.000 0.597
Zr4 0.000 0.000 0.794
Rh1 0.500 0.500 0.119
Rh2 0.500 0.500 0.307
Rh3 0.500 0.500 0.500
Rh4 0.500 0.500 0.693
Rh5 0.500 0.500 0.881